[1]
A plane-wave DFT calculation with PBE was carried out for a relaxed LiAl2ReMo crystal.

Values from the calculation:
- DFT formation energy (meV per atom) = 1215
- density (g/cm3) = 5.8
- total moment (μB/cell) = 2.892
- raw total energy (eV/atom) = -5.32

abc: 4.661 4.529 4.661
angles: 90.00 90.00 90.00
Fractional coordinates of all 5 atoms:
Re (0.000, 0.000, 0.000)
Mo (0.500, 0.500, 0.500)
Al (0.500, 0.000, 0.000)
Al (0.000, 0.000, 0.500)
Li (0.000, 0.500, 0.000)

---

[2]
A plane-wave DFT calculation with PBE was carried out for a relaxed BaTl2ZnCl6 crystal.

Values from the calculation:
- uncorrected formation energy (kJ per mole of atoms) = -139.6
- density (g/cm3) = 4.4
- total moment (μB/cell) = 0.000
- raw total energy (eV/atom) = -3.35

abc: 7.826 7.826 7.452
angles: 58.35 58.32 60.00
Fractional coordinates of all 10 atoms:
Tl (0.094, 0.094, 0.718)
Tl (0.538, 0.538, 0.385)
Cl (0.453, 0.627, 0.807)
Cl (0.520, 0.179, 0.296)
Cl (0.179, 0.006, 0.296)
Cl (0.113, 0.454, 0.807)
Cl (0.627, 0.113, 0.807)
Cl (0.006, 0.519, 0.296)
Ba (0.816, 0.816, 0.552)
Zn (0.316, 0.316, 0.052)